VASP calculation (PBE-GGA) on Fe2TeP6 after structural relaxation.

Computed properties:
DOS at the Fermi energy = 0.81 states/eV/atom
Formation energy without anion corrections = 247 meV/atom
Total moment = 0.0 μB/f.u.

a b c (Å): 5.314 5.314 11.521
angles (deg): 90.00 90.00 90.00
Space group P4_2/mnm (No. 136)
Symmetry-distinct sites (fractional):
Fe1 0.000 0.000 0.164 [4 per cell]
Te1 0.000 0.000 0.500 [2 per cell]
P1 0.153 0.153 0.000 [4 per cell]
P2 0.213 0.213 0.296 [8 per cell]

=====

VASP calculation (PBE-GGA) on SrGa2Si after structural relaxation.

Computed properties:
DOS at the Fermi energy = 0.60 states/eV/atom
Formation energy without anion corrections = -40 meV/atom
Total moment = 0.0 μB/f.u.

a b c (Å): 4.476 6.598 7.242
angles (deg): 90.00 90.00 90.00
Space group Amm2 (No. 38)
Symmetry-distinct sites (fractional):
Sr1 0.000 0.000 0.000 [2 per cell]
Ga1 0.500 0.187 0.685 [4 per cell]
Si1 0.500 0.000 0.370 [2 per cell]

=====

VASP calculation (PBE-GGA) on LiGa5Pd after structural relaxation.

Computed properties:
DOS at the Fermi energy = 0.27 states/eV/atom
DFT formation energy = -309 meV/atom
Total moment = 0.0 μB/f.u.

a b c (Å): 4.316 4.316 6.512
angles (deg): 90.00 90.00 90.00
Space group P4/mmm (No. 123)
Symmetry-distinct sites (fractional):
Li1 0.000 0.000 0.000 [1 per cell]
Ga1 0.000 0.500 0.276 [4 per cell]
Ga2 0.500 0.500 0.000 [1 per cell]
Pd1 0.000 0.000 0.500 [1 per cell]

=====

VASP calculation (PBE-GGA) on Ti7Ga2Sn2 after structural relaxation.

Computed properties:
DOS at the Fermi energy = 1.30 states/eV/atom
DFT formation energy = 110 meV/atom
Total moment = 2.4 μB/f.u.

a b c (Å): 9.608 7.807 5.910
angles (deg): 90.00 90.10 90.00
Space group C2/m (No. 12)
Symmetry-distinct sites (fractional):
Ti1 0.000 0.000 0.000 [2 per cell]
Ti2 0.000 0.500 0.253 [4 per cell]
Ti3 0.250 0.250 0.268 [8 per cell]
Ga1 0.226 0.500 0.001 [4 per cell]
Sn1 0.000 0.183 0.500 [4 per cell]

=====

VASP calculation (PBE-GGA) on Ho8Sb2C3 after structural relaxation.

Computed properties:
DOS at the Fermi energy = 0.74 states/eV/atom
Formation energy without anion corrections = -476 meV/atom
Total moment = 0.0 μB/f.u.

a b c (Å): 14.997 7.229 6.359
angles (deg): 90.00 106.42 90.00
Space group C2/m (No. 12)
Symmetry-distinct sites (fractional):
Ho1 0.092 0.000 0.396 [4 per cell]
Ho2 0.092 0.240 0.889 [8 per cell]
Ho3 0.093 0.500 0.413 [4 per cell]
Sb1 0.246 0.500 0.179 [4 per cell]
C1 0.000 0.000 0.000 [2 per cell]
C2 0.000 0.253 0.500 [4 per cell]

=====

VASP calculation (PBE-GGA) on Li2DyPuPt2 after structural relaxation.

Computed properties:
DOS at the Fermi energy = 2.11 states/eV/atom
DFT formation energy = -649 meV/atom
Total moment = 5.7 μB/f.u.

a b c (Å): 4.4020 4.4020 6.8955
angles (deg): 90.00 90.00 120.00
Space group P-3m1 (No. 164)
Symmetry-distinct sites (fractional):
Li1 0.3333 0.6667 0.2415 [2 per cell]
Dy1 0.0000 0.0000 0.0000 [1 per cell]
Pu1 0.0000 0.0000 0.5000 [1 per cell]
Pt1 0.3333 0.6667 0.7448 [2 per cell]

=====

VASP calculation (PBE-GGA) on Ca2Tl3Pd4 after structural relaxation.

Computed properties:
DOS at the Fermi energy = 0.47 states/eV/atom
DFT formation energy = -452 meV/atom
Total moment = 0.0 μB/f.u.

a b c (Å): 6.110 17.275 7.546
angles (deg): 90.00 90.00 90.00
Space group Cmce (No. 64)
Symmetry-distinct sites (fractional):
Ca1 0.000 0.101 0.087 [8 per cell]
Tl1 0.000 0.000 0.500 [4 per cell]
Tl2 0.250 0.239 0.750 [8 per cell]
Pd1 0.000 0.161 0.477 [8 per cell]
Pd2 0.250 0.075 0.750 [8 per cell]

=====

VASP calculation (PBE-GGA) on KSc2Hg after structural relaxation.

Computed properties:
DOS at the Fermi energy = 1.84 states/eV/atom
DFT formation energy = 452 meV/atom
Total moment = 1.0 μB/f.u.

a b c (Å): 7.612 7.612 7.612
angles (deg): 90.00 90.00 90.00
Space group F-43m (No. 216)
Symmetry-distinct sites (fractional):
K1 0.000 0.000 0.000 [4 per cell]
Sc1 0.000 0.000 0.500 [4 per cell]
Sc2 0.250 0.250 0.250 [4 per cell]
Hg1 0.250 0.250 0.750 [4 per cell]

=====

VASP calculation (PBE-GGA) on TlAgSnS3 after structural relaxation.

Computed properties:
DOS at the Fermi energy = 0.17 states/eV/atom
Formation energy without anion corrections = -228 meV/atom
Total moment = 0.0 μB/f.u.

a b c (Å): 6.968 13.577 6.855
angles (deg): 90.00 90.00 90.00
Space group Cmcm (No. 63)
Symmetry-distinct sites (fractional):
Tl1 0.000 0.238 0.250 [4 per cell]
Ag1 0.000 0.075 0.750 [4 per cell]
Sn1 0.000 0.441 0.750 [4 per cell]
S1 0.000 0.265 0.750 [4 per cell]
S2 0.249 0.500 0.000 [8 per cell]

=====

VASP calculation (PBE-GGA) on PuRe2C after structural relaxation.

Computed properties:
DOS at the Fermi energy = 1.38 states/eV/atom
DFT formation energy = 314 meV/atom
Total moment = 4.7 μB/f.u.

a b c (Å): 2.934 10.260 8.062
angles (deg): 90.00 90.00 90.00
Space group Cmcm (No. 63)
Symmetry-distinct sites (fractional):
Pu1 0.000 0.077 0.250 [4 per cell]
Re1 0.000 0.347 0.069 [8 per cell]
C1 0.000 0.180 0.750 [4 per cell]

=====

VASP calculation (PBE-GGA) on Sr16Mg12Hg after structural relaxation.

Computed properties:
DOS at the Fermi energy = 0.99 states/eV/atom
DFT formation energy = -34 meV/atom
Total moment = 0.0 μB/f.u.

a b c (Å): 13.058 17.441 11.192
angles (deg): 90.00 117.68 90.00
Space group Cm (No. 8)
Symmetry-distinct sites (fractional):
Sr1 0.000 0.000 0.000 [2 per cell]
Sr2 0.002 0.302 0.685 [4 per cell]
Sr3 0.002 0.382 0.354 [4 per cell]
Sr4 0.162 0.171 0.562 [4 per cell]
Sr5 0.180 0.187 0.992 [4 per cell]
Sr6 0.209 0.500 0.697 [2 per cell]
Sr7 0.281 0.306 0.330 [4 per cell]
Sr8 0.367 0.000 0.609 [2 per cell]
Sr9 0.455 0.500 0.340 [2 per cell]
Sr10 0.462 0.116 0.984 [4 per cell]
Mg1 0.179 0.000 0.786 [2 per cell]
Mg2 0.212 0.094 0.299 [4 per cell]
Mg3 0.245 0.407 0.011 [4 per cell]
Mg4 0.298 0.000 0.107 [2 per cell]
Mg5 0.341 0.310 0.836 [4 per cell]
Mg6 0.443 0.407 0.661 [4 per cell]
Mg7 0.479 0.306 0.166 [4 per cell]
Hg1 0.159 0.500 0.238 [2 per cell]